The following is a PBE calculation of an optimized crystal structure of CaWI2N, from the Alexandria database.

abc: 6.0963 6.0963 4.5863
angles: 90.00 90.00 90.00
Positions (direct):
Ca 0.0000 0.0000 0.0000
W 0.5000 0.5000 0.5000
I 0.0000 0.5000 0.0000
I 0.5000 0.0000 0.0000
N 0.0000 0.0000 0.5000

Output
Relative energy among the computed polymorphs = 1412.0 meV per atom
Formation energy from raw total energies = 1.35 eV/atom